! HfMoPb2O6 (GGA+U, relaxed); values from VASP
&SYSTEM
  ibrav = 0, nat = 20, ntyp = 4
/
ATOMIC_SPECIES
Mo 95.94 Mo.upf
O 16.00 O.upf
Pb 207.20 Pb.upf
Hf 178.49 Hf.upf
ATOMIC_POSITIONS angstrom
Mo 2.9022 1.4812 0.0000
Mo 0.0000 4.3693 4.1887
O 4.3485 2.8772 0.0000
O 1.4560 2.8772 0.0000
O 4.3582 2.9733 4.1887
O 1.4157 0.0256 4.1887
O 4.3888 0.0256 4.1887
O 1.4866 5.8249 0.0000
O 0.0000 4.5656 2.0688
O 0.0000 4.5656 6.3085
O 2.9022 1.2849 6.2575
O 2.9022 1.2849 2.1198
O 1.4463 2.9733 4.1887
O 4.3179 5.8249 0.0000
Pb 2.9022 4.6552 2.0730
Pb 0.0000 1.1953 6.2616
Pb 0.0000 1.1953 2.1157
Pb 2.9022 4.6552 6.3043
Hf 2.9022 1.5613 4.1887
Hf 0.0000 4.2891 0.0000
CELL_PARAMETERS angstrom
5.8045 0.0000 0.0000
0.0000 5.8505 0.0000
0.0000 0.0000 8.3773
! Total DFT energy (no corrections), eV/atom: -7.421
! Space group: Pmmn, No. 59